Record 1
VASP calculation (GGA-PBE) on USiS after structural relaxation.

**E above lowest polymorph**: 243 meV/atom
**E_form (uncorrected)**: -0.71 eV per atom
**Symmetry**: Cmcm, No. 63
**Fermi-level density of states**: 1.4979 states/eV per atom
**Crystal system**: orthorhombic
**E_tot**: -91.9 eV for the cell shown

Lattice parameters (Å, degrees): 3.6776 16.2265 3.7790 90.00 90.00 90.00
Fractional positions:
U (0.0000, 0.1235, 0.2500)
U (0.0000, 0.8765, 0.7500)
U (0.5000, 0.3765, 0.7500)
U (0.5000, 0.6235, 0.2500)
Si (0.0000, 0.4612, 0.2500)
Si (0.0000, 0.5388, 0.7500)
Si (0.5000, 0.0388, 0.7500)
Si (0.5000, 0.9612, 0.2500)
S (0.0000, 0.3061, 0.2500)
S (0.0000, 0.6939, 0.7500)
S (0.5000, 0.1939, 0.7500)
S (0.5000, 0.8061, 0.2500)

Record 2
VASP calculation (GGA-PBE) on U6SiS12 after structural relaxation.

**E_form (uncorrected)**: -1.25 eV per atom
**Symmetry**: R-3, No. 148
**Fermi-level density of states**: 2.0008 states/eV per atom
**Crystal system**: trigonal
**E_tot**: -146.5 eV for the cell shown

Lattice parameters (Å, degrees): 7.7092 7.7092 7.7092 100.00 100.00 100.00
Fractional positions:
U (0.1233, 0.7956, 0.6303)
U (0.2044, 0.3697, 0.8767)
U (0.3697, 0.8767, 0.2044)
U (0.6303, 0.1233, 0.7956)
U (0.7956, 0.6303, 0.1233)
U (0.8767, 0.2044, 0.3697)
Si (0.5000, 0.5000, 0.5000)
S (0.0683, 0.9230, 0.3226)
S (0.0770, 0.6774, 0.9317)
S (0.1920, 0.4403, 0.5407)
S (0.3226, 0.0683, 0.9230)
S (0.4403, 0.5407, 0.1920)
S (0.4593, 0.8080, 0.5597)
S (0.5407, 0.1920, 0.4403)
S (0.5597, 0.4593, 0.8080)
S (0.6774, 0.9317, 0.0770)
S (0.8080, 0.5597, 0.4593)
S (0.9230, 0.3226, 0.0683)
S (0.9317, 0.0770, 0.6774)

Record 3
VASP calculation (GGA-PBE) on U2SiS after structural relaxation.

**E_form (uncorrected)**: -0.67 eV per atom
**Symmetry**: R-3m, No. 166
**Fermi-level density of states**: 2.7425 states/eV per atom
**Crystal system**: trigonal
**E_tot**: -104.5 eV for the cell shown

Lattice parameters (Å, degrees): 4.0578 4.0578 18.4150 90.00 90.00 120.00
Fractional positions:
U (0.0000, 0.0000, 0.2464)
U (0.0000, 0.0000, 0.7536)
U (0.3333, 0.6667, 0.4202)
U (0.3333, 0.6667, 0.9131)
U (0.6667, 0.3333, 0.0869)
U (0.6667, 0.3333, 0.5798)
Si (0.0000, 0.0000, 0.0000)
Si (0.3333, 0.6667, 0.6667)
Si (0.6667, 0.3333, 0.3333)
S (0.0000, 0.0000, 0.5000)
S (0.3333, 0.6667, 0.1667)
S (0.6667, 0.3333, 0.8333)

Record 4
VASP calculation (GGA-PBE) on U3SiS2 after structural relaxation.

**E_form (uncorrected)**: -0.92 eV per atom
**Symmetry**: Immm, No. 71
**Fermi-level density of states**: 2.4514 states/eV per atom
**Crystal system**: orthorhombic
**E_tot**: -106.2 eV for the cell shown

Lattice parameters (Å, degrees): 4.0154 5.5504 11.5050 90.00 90.00 90.00
Fractional positions:
U (0.0000, 0.0000, 0.0000)
U (0.0000, 0.0000, 0.3275)
U (0.0000, 0.0000, 0.6725)
U (0.5000, 0.5000, 0.1725)
U (0.5000, 0.5000, 0.5000)
U (0.5000, 0.5000, 0.8275)
Si (0.0000, 0.5000, 0.0000)
Si (0.5000, 0.0000, 0.5000)
S (0.0000, 0.5000, 0.3369)
S (0.0000, 0.5000, 0.6631)
S (0.5000, 0.0000, 0.1631)
S (0.5000, 0.0000, 0.8369)

Record 5
VASP calculation (GGA-PBE) on USiS after structural relaxation.

**E above lowest polymorph**: 0 meV/atom
**E_form (uncorrected)**: -0.96 eV per atom
**Symmetry**: I4/mmm, No. 139
**Fermi-level density of states**: 1.5320 states/eV per atom
**Crystal system**: tetragonal
**E_tot**: -94.8 eV for the cell shown

Lattice parameters (Å, degrees): 3.7735 3.7735 15.8302 90.00 90.00 90.00
Fractional positions:
U (0.0000, 0.0000, 0.1428)
U (0.0000, 0.0000, 0.8572)
U (0.5000, 0.5000, 0.3572)
U (0.5000, 0.5000, 0.6428)
Si (0.0000, 0.5000, 0.0000)
Si (0.0000, 0.5000, 0.5000)
Si (0.5000, 0.0000, 0.0000)
Si (0.5000, 0.0000, 0.5000)
S (0.0000, 0.0000, 0.3191)
S (0.0000, 0.0000, 0.6809)
S (0.5000, 0.5000, 0.1809)
S (0.5000, 0.5000, 0.8191)

Record 6
VASP calculation (GGA-PBE) on U3SiS6 after structural relaxation.

**E_form (uncorrected)**: -1.10 eV per atom
**Symmetry**: Cmc2_1, No. 36
**Fermi-level density of states**: 1.7959 states/eV per atom
**Crystal system**: orthorhombic
**E_tot**: -150.1 eV for the cell shown

Lattice parameters (Å, degrees): 8.2705 8.2705 6.8029 90.00 90.00 101.90
Fractional positions:
U (0.1015, 0.8985, 0.5000)
U (0.2188, 0.4182, 0.4025)
U (0.4182, 0.2188, 0.9025)
U (0.5818, 0.7812, 0.4025)
U (0.7812, 0.5818, 0.9025)
U (0.8985, 0.1015, 0.0000)
Si (0.3279, 0.6721, 0.8535)
Si (0.6721, 0.3279, 0.3535)
S (0.0770, 0.5964, 0.6955)
S (0.1295, 0.1939, 0.7016)
S (0.1939, 0.1295, 0.2016)
S (0.2694, 0.7306, 0.2613)
S (0.4036, 0.9230, 0.6955)
S (0.4818, 0.5182, 0.6595)
S (0.5182, 0.4818, 0.1595)
S (0.5964, 0.0770, 0.1955)
S (0.7306, 0.2694, 0.7613)
S (0.8061, 0.8705, 0.7016)
S (0.8705, 0.8061, 0.2016)
S (0.9230, 0.4036, 0.1955)

Record 7
VASP calculation (GGA-PBE) on USiS after structural relaxation.

**E above lowest polymorph**: 581 meV/atom
**E_form (uncorrected)**: -0.37 eV per atom
**Symmetry**: P4/nmm, No. 129
**Fermi-level density of states**: 1.5627 states/eV per atom
**Crystal system**: tetragonal
**E_tot**: -43.9 eV for the cell shown

Lattice parameters (Å, degrees): 4.0741 4.0741 7.1489 90.00 90.00 90.00
Fractional positions:
U (0.2500, 0.2500, 0.2479)
U (0.7500, 0.7500, 0.7521)
Si (0.2500, 0.2500, 0.6352)
Si (0.7500, 0.7500, 0.3648)
S (0.2500, 0.7500, 0.0000)
S (0.7500, 0.2500, 0.0000)

Record 8
VASP calculation (GGA-PBE) on USi2S6 after structural relaxation.

**E_form (uncorrected)**: -0.76 eV per atom
**Symmetry**: C2/c, No. 15
**Fermi-level density of states**: 0.6244 states/eV per atom
**Crystal system**: monoclinic
**E_tot**: -107.5 eV for the cell shown

Lattice parameters (Å, degrees): 8.4444 8.4444 6.2545 97.19 97.19 86.03
Fractional positions:
U (0.1189, 0.8811, 0.7500)
U (0.8811, 0.1189, 0.2500)
Si (0.2284, 0.3750, 0.6922)
Si (0.3750, 0.2284, 0.1922)
Si (0.6250, 0.7716, 0.8078)
Si (0.7716, 0.6250, 0.3078)
S (0.0514, 0.1933, 0.6430)
S (0.1242, 0.5878, 0.8437)
S (0.1933, 0.0514, 0.1430)
S (0.2943, 0.4372, 0.3928)
S (0.4122, 0.8758, 0.6563)
S (0.4372, 0.2943, 0.8928)
S (0.5628, 0.7057, 0.1072)
S (0.5878, 0.1242, 0.3437)
S (0.7057, 0.5628, 0.6072)
S (0.8067, 0.9486, 0.8570)
S (0.8758, 0.4122, 0.1563)
S (0.9486, 0.8067, 0.3570)

Record 9
VASP calculation (GGA-PBE) on USiS after structural relaxation.

**E above lowest polymorph**: 4 meV/atom
**E_form (uncorrected)**: -0.95 eV per atom
**Symmetry**: P4/nmm, No. 129
**Fermi-level density of states**: 1.6037 states/eV per atom
**Crystal system**: tetragonal
**E_tot**: -47.4 eV for the cell shown

Lattice parameters (Å, degrees): 3.7551 3.7551 8.0568 90.00 90.00 90.00
Fractional positions:
U (0.2500, 0.2500, 0.2047)
U (0.7500, 0.7500, 0.7953)
Si (0.2500, 0.7500, 0.5000)
Si (0.7500, 0.2500, 0.5000)
S (0.2500, 0.2500, 0.8557)
S (0.7500, 0.7500, 0.1443)

Record 10
VASP calculation (GGA-PBE) on V4SiS after structural relaxation.

**E_form (uncorrected)**: -0.28 eV per atom
**Symmetry**: P-1, No. 2
**Fermi-level density of states**: 1.0244 states/eV per atom
**Crystal system**: triclinic
**E_tot**: -95.4 eV for the cell shown

Lattice parameters (Å, degrees): 4.5897 5.9379 6.8001 103.65 109.67 90.03
Fractional positions:
V (0.0375, 0.1281, 0.3191)
V (0.2801, 0.6288, 0.3184)
V (0.3145, 0.5696, 0.8601)
V (0.4538, 0.9300, 0.1395)
V (0.5462, 0.0700, 0.8605)
V (0.6855, 0.4304, 0.1399)
V (0.7199, 0.3712, 0.6816)
V (0.9625, 0.8719, 0.6809)
Si (0.1214, 0.2499, 0.0003)
Si (0.8786, 0.7501, 0.9997)
S (0.0000, 0.5000, 0.5000)
S (0.5000, 0.0000, 0.5000)

Record 11
VASP calculation (GGA-PBE) on V2Si2S after structural relaxation.

**E above lowest polymorph**: 0 meV/atom
**E_form (uncorrected)**: -0.27 eV per atom
**Symmetry**: P4/mbm, No. 127
**Fermi-level density of states**: 0.7686 states/eV per atom
**Crystal system**: tetragonal
**E_tot**: -69.1 eV for the cell shown

Lattice parameters (Å, degrees): 6.4188 6.4188 3.3961 90.00 90.00 90.00
Fractional positions:
V (0.1671, 0.3329, 0.0000)
V (0.3329, 0.8329, 0.0000)
V (0.6671, 0.1671, 0.0000)
V (0.8329, 0.6671, 0.0000)
Si (0.1300, 0.6300, 0.5000)
Si (0.3700, 0.1300, 0.5000)
Si (0.6300, 0.8700, 0.5000)
Si (0.8700, 0.3700, 0.5000)
S (0.0000, 0.0000, 0.0000)
S (0.5000, 0.5000, 0.0000)

Record 12
VASP calculation (GGA-PBE) on V2SiS6 after structural relaxation.

**E_form (uncorrected)**: -0.60 eV per atom
**Symmetry**: P4_2/mnm, No. 136
**Fermi-level density of states**: 0.5551 states/eV per atom
**Crystal system**: tetragonal
**E_tot**: -107.6 eV for the cell shown

Lattice parameters (Å, degrees): 5.6511 5.6511 9.9506 90.00 90.00 90.00
Fractional positions:
V (0.0000, 0.0000, 0.1484)
V (0.0000, 0.0000, 0.8516)
V (0.5000, 0.5000, 0.3516)
V (0.5000, 0.5000, 0.6484)
Si (0.0000, 0.0000, 0.5000)
Si (0.5000, 0.5000, 0.0000)
S (0.1881, 0.1881, 0.3309)
S (0.1881, 0.1881, 0.6691)
S (0.2098, 0.2098, 0.0000)
S (0.2902, 0.7098, 0.5000)
S (0.3119, 0.6881, 0.1691)
S (0.3119, 0.6881, 0.8309)
S (0.6881, 0.3119, 0.1691)
S (0.6881, 0.3119, 0.8309)
S (0.7098, 0.2902, 0.5000)
S (0.7902, 0.7902, 0.0000)
S (0.8119, 0.8119, 0.3309)
S (0.8119, 0.8119, 0.6691)